[1]
H2OsCl8 | PBE | relaxed

Summary:
E_tot	-36.87	eV/cell
volume	316.5	Å³/cell
total magnetization	2.01	μB/cell

Cell: 5.5879 9.4380 9.4382 Å, 53.81 56.70 56.70°
Last column: nearest neighbours and their distance in Å.
Sites, in units of the cell vectors:
1 Cl 0.8928 0.1189 0.7411  1 Os 2.28
2 Cl 0.1072 0.8811 0.2589  1 Os 2.28
3 Cl 0.8928 0.7411 0.1189  1 Os 2.28
4 H 0.4933 0.7195 0.7195  1 Cl 1.30
5 Cl 0.4952 0.6420 0.6420  1 H 1.30
6 Cl 0.5041 0.8573 0.8573  1 Os 2.32, 1 H 2.36
7 Cl 0.4959 0.1427 0.1427  1 Os 2.32, 1 H 2.36
8 Os 0.0000 0.0000 0.0000  6 Cl 2.28-2.32
9 H 0.5067 0.2805 0.2805  1 Cl 1.30
10 Cl 0.1072 0.2589 0.8811  1 Os 2.28
11 Cl 0.5048 0.3580 0.3580  1 H 1.30



[2]
HOs3Cl | PBE | relaxed

Summary:
volume	63.3	Å³/cell
energy above the most stable polymorph in this dataset	0	meV/atom
total magnetization	0.98	μB/cell

Cell: 3.9848 3.9848 3.9848 Å, 90.00 90.00 90.00°
Last column: nearest neighbours and their distance in Å.
Sites, in units of the cell vectors:
1 Os 0.5000 0.0000 0.0000  2 H 1.99
2 H 0.0000 0.0000 0.0000  6 Os 1.99
3 Cl 0.5000 0.5000 0.5000  12 Os 2.82
4 Os 0.0000 0.5000 0.0000  2 H 1.99
5 Os 0.0000 0.0000 0.5000  2 H 1.99



- The lowest total magnetization belongs to which entry?
  HOs3Cl



- What is the total magnetization in the first record?
  2.01 μB/cell



- Which formula does entry 1 have?
  H2OsCl8